Material: Dy2GePb
Method: DFT, GGA-PBE
State: optimized geometry

Computed properties:
DOS at the Fermi energy ... 10.72 states/eV/cell
Total magnetic moment ... 0.000 μB per cell
Crystal system ... trigonal
Energy relative to the elements ... -538 meV per atom

a = 4.0303 Å, b = 4.0303 Å, c = 24.6163 Å
α = 90.00°, β = 90.00°, γ = 120.00°
Space group R3m (No. 160, hexagonal axes)
Symmetry-distinct sites (fractional):
Dy1 0.0000 0.0000 0.0000 [3 per cell]
Dy2 0.0000 0.0000 0.2009 [3 per cell]
Ge1 0.0000 0.0000 0.6013 [3 per cell]
Pb1 0.0000 0.0000 0.4334 [3 per cell]

=====

Material: Dy3GePb2
Method: DFT, GGA-PBE
State: optimized geometry

Computed properties:
DOS at the Fermi energy ... 16.81 states/eV/cell
Total magnetic moment ... 0.000 μB per cell
Crystal system ... orthorhombic
Energy relative to the elements ... -491 meV per atom

a = 12.756 Å, b = 4.370 Å, c = 11.988 Å
α = 90.00°, β = 90.00°, γ = 90.00°
Space group Pnma (No. 62)
Symmetry-distinct sites (fractional):
Dy1 0.056 0.250 0.118 [4 per cell]
Dy2 0.114 0.750 0.544 [4 per cell]
Dy3 0.246 0.750 0.278 [4 per cell]
Ge1 0.120 0.250 0.372 [4 per cell]
Pb1 0.022 0.250 0.715 [4 per cell]
Pb2 0.186 0.750 0.998 [4 per cell]

=====

Material: Dy8Ge5Pb
Method: DFT, GGA-PBE
State: optimized geometry

Computed properties:
DOS at the Fermi energy ... 2.41 states/eV/cell
Total magnetic moment ... 0.000 μB per cell
Crystal system ... tetragonal
Energy relative to the elements ... -793 meV per atom

a = 8.961 Å, b = 8.961 Å, c = 8.904 Å
α = 90.00°, β = 90.00°, γ = 90.00°
Space group I-4 (No. 82)
Symmetry-distinct sites (fractional):
Dy1 0.064 0.312 0.436 [8 per cell]
Dy2 0.069 0.174 0.811 [8 per cell]
Ge1 0.000 0.000 0.500 [2 per cell]
Ge2 0.127 0.249 0.124 [8 per cell]
Pb1 0.000 0.500 0.750 [2 per cell]

=====

Material: Dy2GePb
Method: DFT, GGA-PBE
State: optimized geometry

Computed properties:
DOS at the Fermi energy ... 3.72 states/eV/cell
Total magnetic moment ... 0.000 μB per cell
Crystal system ... tetragonal
Energy relative to the elements ... -477 meV per atom

a = 4.902 Å, b = 4.902 Å, c = 4.242 Å
α = 90.00°, β = 90.00°, γ = 90.00°
Space group P4/mmm (No. 123)
Symmetry-distinct sites (fractional):
Dy1 0.000 0.500 0.000 [2 per cell]
Ge1 0.000 0.000 0.500 [1 per cell]
Pb1 0.500 0.500 0.500 [1 per cell]

=====

Material: DyGePb
Method: DFT, GGA-PBE
State: optimized geometry

Computed properties:
DOS at the Fermi energy ... 1.80 states/eV/cell
Total magnetic moment ... 0.000 μB per cell
Crystal system ... trigonal
Energy relative to the elements ... -209 meV per atom

a = 4.9714 Å, b = 4.9714 Å, c = 3.6579 Å
α = 90.00°, β = 90.00°, γ = 120.00°
Space group P3m1 (No. 156)
Symmetry-distinct sites (fractional):
Dy1 0.0000 0.0000 0.0000 [1 per cell]
Ge1 0.6667 0.3333 0.6317 [1 per cell]
Pb1 0.3333 0.6667 0.4471 [1 per cell]

=====

Material: Dy3Ge2Pb
Method: DFT, GGA-PBE
State: optimized geometry

Computed properties:
DOS at the Fermi energy ... 7.55 states/eV/cell
Total magnetic moment ... 0.000 μB per cell
Crystal system ... orthorhombic
Energy relative to the elements ... -548 meV per atom

a = 4.400 Å, b = 16.028 Å, c = 4.222 Å
α = 90.00°, β = 90.00°, γ = 90.00°
Space group Cmmm (No. 65)
Symmetry-distinct sites (fractional):
Dy1 0.000 0.000 0.000 [2 per cell]
Dy2 0.000 0.172 0.500 [4 per cell]
Ge1 0.000 0.341 0.000 [4 per cell]
Pb1 0.000 0.500 0.500 [2 per cell]

=====

Material: Dy2GePb
Method: DFT, GGA-PBE
State: optimized geometry

Computed properties:
DOS at the Fermi energy ... 12.83 states/eV/cell
Total magnetic moment ... 0.000 μB per cell
Crystal system ... orthorhombic
Energy relative to the elements ... -557 meV per atom

a = 4.618 Å, b = 23.303 Å, c = 3.993 Å
α = 90.00°, β = 90.00°, γ = 90.00°
Space group Cmcm (No. 63)
Symmetry-distinct sites (fractional):
Dy1 0.000 0.061 0.250 [4 per cell]
Dy2 0.000 0.330 0.250 [4 per cell]
Ge1 0.000 0.462 0.250 [4 per cell]
Pb1 0.000 0.194 0.250 [4 per cell]

=====

Material: DyGe2Pt7Pb2
Method: DFT, GGA-PBE
State: optimized geometry

Computed properties:
DOS at the Fermi energy ... 7.98 states/eV/cell
Total magnetic moment ... 0.000 μB per cell
Crystal system ... monoclinic
Energy relative to the elements ... -545 meV per atom

a = 5.664 Å, b = 5.665 Å, c = 15.895 Å
α = 90.00°, β = 100.16°, γ = 90.00°
Space group C2/m (No. 12)
Symmetry-distinct sites (fractional):
Dy1 0.000 0.000 0.000 [2 per cell]
Ge1 0.116 0.500 0.235 [4 per cell]
Pt1 0.000 0.500 0.000 [2 per cell]
Pt2 0.181 0.250 0.861 [8 per cell]
Pt3 0.196 0.500 0.391 [4 per cell]
Pb1 0.211 0.000 0.422 [4 per cell]

=====

Material: DyPuGePb
Method: DFT, GGA-PBE
State: optimized geometry

Computed properties:
DOS at the Fermi energy ... 40.07 states/eV/cell
Total magnetic moment ... 23.770 μB per cell
Crystal system ... cubic
Energy relative to the elements ... -298 meV per atom

a = 7.438 Å, b = 7.438 Å, c = 7.438 Å
α = 90.00°, β = 90.00°, γ = 90.00°
Space group F-43m (No. 216)
Symmetry-distinct sites (fractional):
Dy1 0.000 0.000 0.000 [4 per cell]
Pu1 0.000 0.000 0.500 [4 per cell]
Ge1 0.250 0.250 0.750 [4 per cell]
Pb1 0.250 0.250 0.250 [4 per cell]

=====

Material: Dy2Ge2Rh5Pb
Method: DFT, GGA-PBE
State: optimized geometry

Computed properties:
DOS at the Fermi energy ... 5.06 states/eV/cell
Total magnetic moment ... 0.000 μB per cell
Crystal system ... tetragonal
Energy relative to the elements ... -737 meV per atom

a = 9.839 Å, b = 9.839 Å, c = 3.686 Å
α = 90.00°, β = 90.00°, γ = 90.00°
Space group P4/mbm (No. 127)
Symmetry-distinct sites (fractional):
Dy1 0.176 0.324 0.000 [4 per cell]
Ge1 0.121 0.621 0.000 [4 per cell]
Rh1 0.000 0.500 0.500 [2 per cell]
Rh2 0.070 0.785 0.500 [8 per cell]
Pb1 0.000 0.000 0.000 [2 per cell]

=====

Material: Dy3GePbS
Method: DFT, GGA-PBE
State: optimized geometry

Computed properties:
DOS at the Fermi energy ... 6.08 states/eV/cell
Total magnetic moment ... 0.000 μB per cell
ΔE_f (raw) ... -0.9416 eV per atom
Crystal system ... monoclinic

a = 6.857 Å, b = 4.955 Å, c = 9.534 Å
α = 90.00°, β = 106.18°, γ = 90.00°
Space group P2_1/m (No. 11)
Symmetry-distinct sites (fractional):
Dy1 0.036 0.250 0.323 [2 per cell]
Dy2 0.269 0.250 0.968 [2 per cell]
Dy3 0.419 0.750 0.618 [2 per cell]
Ge1 0.186 0.250 0.631 [2 per cell]
Pb1 0.266 0.750 0.235 [2 per cell]
S1 0.335 0.750 0.885 [2 per cell]

=====

Material: Dy6Ge2PbS3
Method: DFT, GGA-PBE
State: optimized geometry

Computed properties:
DOS at the Fermi energy ... 7.56 states/eV/cell
Total magnetic moment ... 0.000 μB per cell
ΔE_f (raw) ... -1.3459 eV per atom
Crystal system ... monoclinic

a = 17.885 Å, b = 4.063 Å, c = 8.262 Å
α = 90.00°, β = 103.74°, γ = 90.00°
Space group C2/m (No. 12)
Symmetry-distinct sites (fractional):
Dy1 0.000 0.000 0.229 [4 per cell]
Dy2 0.169 0.500 0.081 [4 per cell]
Dy3 0.174 0.500 0.590 [4 per cell]
Ge1 0.166 0.000 0.832 [4 per cell]
Pb1 0.000 0.500 0.500 [2 per cell]
S1 0.000 0.500 0.000 [2 per cell]
S2 0.167 0.000 0.331 [4 per cell]

=====

Material: Dy4GePbSe2
Method: DFT, GGA-PBE
State: optimized geometry

Computed properties:
DOS at the Fermi energy ... 2.59 states/eV/cell
Total magnetic moment ... 0.000 μB per cell
ΔE_f (raw) ... -1.2273 eV per atom
Crystal system ... monoclinic

a = 7.301 Å, b = 4.160 Å, c = 7.348 Å
α = 90.00°, β = 109.14°, γ = 90.00°
Space group P2/m (No. 10)
Symmetry-distinct sites (fractional):
Dy1 0.243 0.000 0.237 [2 per cell]
Dy2 0.254 0.500 0.765 [2 per cell]
Ge1 0.000 0.500 0.000 [1 per cell]
Pb1 0.000 0.000 0.500 [1 per cell]
Se1 0.500 0.000 0.000 [1 per cell]
Se2 0.500 0.500 0.500 [1 per cell]

=====

Material: Dy6GeTe3Pb2
Method: DFT, GGA-PBE
State: optimized geometry

Computed properties:
DOS at the Fermi energy ... 6.06 states/eV/cell
Total magnetic moment ... 0.001 μB per cell
ΔE_f (raw) ... -1.0098 eV per atom
Crystal system ... monoclinic

a = 19.089 Å, b = 4.341 Å, c = 8.803 Å
α = 90.00°, β = 103.40°, γ = 90.00°
Space group C2/m (No. 12)
Symmetry-distinct sites (fractional):
Dy1 0.001 0.000 0.226 [4 per cell]
Dy2 0.156 0.500 0.082 [4 per cell]
Dy3 0.167 0.500 0.578 [4 per cell]
Ge1 0.000 0.500 0.000 [2 per cell]
Te1 0.000 0.500 0.500 [2 per cell]
Te2 0.168 0.000 0.834 [4 per cell]
Pb1 0.167 0.000 0.332 [4 per cell]

=====

Material: DyGe4Pd12
Method: DFT, GGA-PBE
State: optimized geometry

Computed properties:
DOS at the Fermi energy ... 12.23 states/eV/cell
Total magnetic moment ... 0.000 μB per cell
Crystal system ... cubic
Energy relative to the elements ... -292 meV per atom

a = 8.521 Å, b = 8.521 Å, c = 8.521 Å
α = 90.00°, β = 90.00°, γ = 90.00°
Space group Im-3 (No. 204)
Symmetry-distinct sites (fractional):
Dy1 0.000 0.000 0.000 [2 per cell]
Ge1 0.250 0.250 0.250 [8 per cell]
Pd1 0.000 0.160 0.342 [24 per cell]

=====

Material: DyGePd2
Method: DFT, GGA-PBE
State: optimized geometry

Computed properties:
DOS at the Fermi energy ... 6.29 states/eV/cell
Total magnetic moment ... 0.000 μB per cell
Crystal system ... orthorhombic
Energy relative to the elements ... -909 meV per atom

a = 7.389 Å, b = 7.139 Å, c = 5.612 Å
α = 90.00°, β = 90.00°, γ = 90.00°
Space group Pnma (No. 62)
Symmetry-distinct sites (fractional):
Dy1 0.028 0.250 0.145 [4 per cell]
Ge1 0.120 0.750 0.356 [4 per cell]
Pd1 0.182 0.052 0.587 [8 per cell]

=====

Material: DyGe3Pd
Method: DFT, GGA-PBE
State: optimized geometry

Computed properties:
DOS at the Fermi energy ... 3.70 states/eV/cell
Total magnetic moment ... 0.000 μB per cell
Crystal system ... monoclinic
Energy relative to the elements ... -519 meV per atom

a = 5.622 Å, b = 5.870 Å, c = 6.135 Å
α = 90.00°, β = 93.06°, γ = 90.00°
Space group P2_1 (No. 4)
Symmetry-distinct sites (fractional):
Dy1 0.142 0.000 0.307 [2 per cell]
Ge1 0.088 0.054 0.795 [2 per cell]
Ge2 0.297 0.430 0.996 [2 per cell]
Ge3 0.303 0.466 0.454 [2 per cell]
Pd1 0.389 0.751 0.744 [2 per cell]

=====

Material: DyGe2Pd
Method: DFT, GGA-PBE
State: optimized geometry

Computed properties:
DOS at the Fermi energy ... 11.42 states/eV/cell
Total magnetic moment ... 0.000 μB per cell
Crystal system ... orthorhombic
Energy relative to the elements ... -760 meV per atom

a = 4.329 Å, b = 8.798 Å, c = 16.450 Å
α = 90.00°, β = 90.00°, γ = 90.00°
Space group Immm (No. 71)
Symmetry-distinct sites (fractional):
Dy1 0.000 0.000 0.202 [4 per cell]
Dy2 0.000 0.241 0.000 [4 per cell]
Ge1 0.000 0.000 0.425 [4 per cell]
Ge2 0.000 0.351 0.197 [8 per cell]
Ge3 0.000 0.500 0.426 [4 per cell]
Pd1 0.000 0.251 0.352 [8 per cell]

=====

Material: Dy2Ge3Pd
Method: DFT, GGA-PBE
State: optimized geometry

Computed properties:
E above lowest polymorph ... 0.000 eV per atom
DOS at the Fermi energy ... 2.72 states/eV/cell
Total magnetic moment ... 0.000 μB per cell
Crystal system ... orthorhombic
Energy relative to the elements ... -771 meV per atom

a = 3.922 Å, b = 4.418 Å, c = 7.201 Å
α = 90.00°, β = 90.00°, γ = 90.00°
Space group Pmm2 (No. 25)
Symmetry-distinct sites (fractional):
Dy1 0.000 0.000 0.000 [1 per cell]
Dy2 0.000 0.500 0.493 [1 per cell]
Ge1 0.500 0.000 0.327 [1 per cell]
Ge2 0.500 0.000 0.670 [1 per cell]
Ge3 0.500 0.500 0.161 [1 per cell]
Pd1 0.500 0.500 0.822 [1 per cell]

=====

Material: Dy4Ge8Pd
Method: DFT, GGA-PBE
State: optimized geometry

Computed properties:
DOS at the Fermi energy ... 5.27 states/eV/cell
Total magnetic moment ... 0.000 μB per cell
Crystal system ... orthorhombic
Energy relative to the elements ... -645 meV per atom

a = 3.991 Å, b = 4.094 Å, c = 16.608 Å
α = 90.00°, β = 90.00°, γ = 90.00°
Space group Pmm2 (No. 25)
Symmetry-distinct sites (fractional):
Dy1 0.000 0.000 0.000 [1 per cell]
Dy2 0.000 0.500 0.483 [1 per cell]
Dy3 0.500 0.000 0.790 [1 per cell]
Dy4 0.500 0.500 0.280 [1 per cell]
Ge1 0.000 0.000 0.327 [1 per cell]
Ge2 0.000 0.000 0.619 [1 per cell]
Ge3 0.000 0.500 0.137 [1 per cell]
Ge4 0.000 0.500 0.858 [1 per cell]
Ge5 0.500 0.000 0.143 [1 per cell]
Ge6 0.500 0.000 0.427 [1 per cell]
Ge7 0.500 0.500 0.617 [1 per cell]
Ge8 0.500 0.500 0.955 [1 per cell]
Pd1 0.000 0.500 0.711 [1 per cell]

=====

Material: DyGe2Pd5
Method: DFT, GGA-PBE
State: optimized geometry

Computed properties:
DOS at the Fermi energy ... 7.76 states/eV/cell
Total magnetic moment ... 0.000 μB per cell
Crystal system ... orthorhombic
Energy relative to the elements ... -653 meV per atom

a = 3.827 Å, b = 7.292 Å, c = 9.959 Å
α = 90.00°, β = 90.00°, γ = 90.00°
Space group Immm (No. 71)
Symmetry-distinct sites (fractional):
Dy1 0.000 0.000 0.000 [2 per cell]
Ge1 0.000 0.500 0.250 [4 per cell]
Pd1 0.000 0.199 0.356 [8 per cell]
Pd2 0.000 0.500 0.000 [2 per cell]

=====

E_tot, record by record: -4.9207; -4.7976; -5.3365; -4.8596; -4.5180; -5.0059; -4.9399; -5.8399; -7.1126; -6.6273; -5.3181; -5.7574; -5.4402; -5.0991; -5.3142; -5.8105; -5.2484; -5.5178; -5.4793; -5.3018; -5.6279 eV per atom